## LaHoMo2O8 (PBE+U)

Data for LaHoMo2O8 after structural relaxation.

Summary:
* VASP energy: -7.727 eV/atom

Cell: 6.8184 6.8184 6.8184 Å, 133.88 133.88 67.28°
Positions (direct):
La: 0.0000 0.0000 0.0000
Ho: 0.2500 0.7500 0.5000
Mo: 0.5000 0.5000 0.0000
Mo: 0.7500 0.2500 0.5000
O: 0.0246 0.0754 0.4257
O: 0.2486 0.6448 0.0695
O: 0.3552 0.4247 0.6038
O: 0.4011 0.9754 0.0508
O: 0.5753 0.1791 0.9305
O: 0.6497 0.5989 0.5743
O: 0.8209 0.7514 0.3962
O: 0.9246 0.3503 0.9492